A geometry-optimized Nd3BiPO structure. Source: the Alexandria database, functional PBE.

a = 4.2277 Å, b = 8.9048 Å, c = 9.2494 Å
α = 102.87°, β = 90.00°, γ = 90.00°
Atoms (fractional coordinates):
Nd1 0.2500 0.8294 0.4764
Nd2 0.7500 0.8831 0.1487
Nd3 0.7500 0.4316 0.1566
Nd4 0.7500 0.1706 0.5236
Nd5 0.2500 0.5684 0.8434
Nd6 0.2500 0.1169 0.8513
Bi1 0.7500 0.8195 0.7717
Bi2 0.2500 0.1805 0.2283
P1 0.2500 0.6582 0.1595
P2 0.7500 0.3418 0.8405
O1 0.2500 0.0886 0.5910
O2 0.7500 0.9114 0.4090

## Properties
Symmetry: No. 11
ΔE_f (raw): -1751.2 meV/atom
Raw total energy: -78.12 eV for the cell shown